[1]
DFT (PBE-GGA) results for a relaxed structure of Ag2Pd2Au.

POSCAR file:
```
Ag2Pd2Au
1.0
7.679 0.000 0.000
0.000 7.679 0.000
0.000 0.000 3.007
Ag Pd Au
4 4 2
direct
0.167 0.333 0.000
0.333 0.833 0.000
0.667 0.167 0.000
0.833 0.667 0.000
0.130 0.630 0.500
0.370 0.130 0.500
0.630 0.870 0.500
0.870 0.370 0.500
0.000 0.000 0.500
0.500 0.500 0.500
```

## Properties
For the formation energy, the calculation gives 0.126 eV/atom. The distance to the lowest polymorph of the same formula is 126 meV per atom.

***

[2]
DFT (PBE-GGA) results for a relaxed structure of TmNbRh2.

POSCAR file:
```
TmNbRh2
1.0
3.159 0.000 0.000
0.000 3.159 0.000
0.000 0.000 7.136
Tm Nb Rh
1 1 2
direct
0.000 0.000 0.000
0.000 0.000 0.500
0.500 0.500 0.274
0.500 0.500 0.726
```

## Properties
For the formation energy, the calculation gives -0.579 eV/atom. The distance to the lowest polymorph of the same formula is 0 meV per atom.

***

[3]
DFT (PBE-GGA) results for a relaxed structure of Cu2PdPt3.

POSCAR file:
```
Cu2PdPt3
1.0
5.868 -1.932 0.000
5.868 1.932 0.000
-3.893 0.000 7.694
Cu Pd Pt
4 2 6
direct
0.044 0.044 0.379
0.289 0.289 0.619
0.711 0.711 0.381
0.956 0.956 0.621
0.375 0.375 0.388
0.625 0.625 0.612
0.126 0.126 0.135
0.207 0.207 0.870
0.464 0.464 0.138
0.536 0.536 0.862
0.793 0.793 0.130
0.874 0.874 0.865
```

## Properties
For the formation energy, the calculation gives -0.081 eV/atom. The distance to the lowest polymorph of the same formula is 28 meV per atom.

***

[4]
DFT (PBE-GGA) results for a relaxed structure of SrPt4.

POSCAR file:
```
SrPt4
1.0
5.058 0.000 0.000
0.000 5.058 0.000
0.000 0.000 5.058
Sr Pt
1 4
direct
0.000 0.000 0.000
0.000 0.000 0.500
0.000 0.500 0.000
0.500 0.000 0.000
0.500 0.500 0.500
```

## Properties
For the formation energy, the calculation gives 1.902 eV/atom. The distance to the lowest polymorph of the same formula is 2194 meV per atom.

***

[5]
DFT (PBE-GGA) results for a relaxed structure of Ga2Ag2Pt.

POSCAR file:
```
Ga2Ag2Pt
1.0
6.578 0.000 0.000
0.000 6.578 0.000
0.000 0.000 4.050
Ga Ag Pt
4 4 2
direct
0.143 0.357 0.000
0.357 0.857 0.000
0.643 0.143 0.000
0.857 0.643 0.000
0.160 0.660 0.500
0.340 0.160 0.500
0.660 0.840 0.500
0.840 0.340 0.500
0.000 0.000 0.000
0.500 0.500 0.000
```

## Properties
For the formation energy, the calculation gives -0.120 eV/atom. The distance to the lowest polymorph of the same formula is 0 meV per atom.

***

[6]
DFT (PBE-GGA) results for a relaxed structure of Ce6TmSe8.

POSCAR file:
```
Ce6TmSe8
1.0
0.000 5.924 5.924
5.924 0.000 5.924
5.924 5.924 0.000
Ce Tm Se
6 1 8
direct
0.000 0.000 0.500
0.000 0.500 0.000
0.000 0.500 0.500
0.500 0.000 0.000
0.500 0.000 0.500
0.500 0.500 0.000
0.000 0.000 0.000
0.244 0.244 0.756
0.244 0.756 0.244
0.244 0.756 0.756
0.250 0.250 0.250
0.750 0.750 0.750
0.756 0.244 0.244
0.756 0.244 0.756
0.756 0.756 0.244
```

## Properties
As for the raw formation energy: -1.83 eV per atom.

***

[7]
DFT (PBE-GGA) results for a relaxed structure of FeTc.

POSCAR file:
```
FeTc
1.0
-3.560 3.560 3.560
3.560 -3.560 3.560
3.560 3.560 -3.560
Fe Tc
4 4
direct
0.000 0.000 0.653
0.000 0.653 0.000
0.347 0.347 0.347
0.653 0.000 0.000
0.000 0.000 0.296
0.000 0.296 0.000
0.296 0.000 0.000
0.704 0.704 0.704
```

## Properties
For the formation energy, the calculation gives 1.660 eV/atom.

***

[8]
DFT (PBE-GGA) results for a relaxed structure of BaMn3Si.

POSCAR file:
```
BaMn3Si
1.0
4.818 0.000 0.000
0.000 4.818 0.000
0.000 0.000 4.818
Ba Mn Si
1 3 1
direct
0.000 0.000 0.000
0.000 0.500 0.500
0.500 0.000 0.500
0.500 0.500 0.000
0.500 0.500 0.500
```

## Properties
As for the raw formation energy: 0.49 eV per atom. The distance to the lowest polymorph of the same formula is 0 meV per atom.

***

[9]
DFT (PBE-GGA) results for a relaxed structure of SrCaTa2.

POSCAR file:
```
SrCaTa2
1.0
3.104 0.000 0.000
0.000 3.104 0.000
0.000 0.000 10.925
Sr Ca Ta
1 1 2
direct
0.000 0.000 0.000
0.500 0.500 0.678
0.000 0.000 0.439
0.500 0.500 0.256
```

## Properties
For the formation energy, the calculation gives 0.763 eV/atom. The distance to the lowest polymorph of the same formula is 328 meV per atom.

***

[10]
DFT (PBE-GGA) results for a relaxed structure of TaFeGeTe2Pd.

POSCAR file:
```
TaFeGeTe2Pd
1.0
1.983 1.145 9.584
-1.983 1.145 9.584
0.000 -2.289 9.584
Ta Fe Ge Te Pd
1 1 1 2 1
direct
0.000 0.000 0.000
0.301 0.301 0.301
0.603 0.603 0.603
0.392 0.392 0.392
0.832 0.832 0.832
0.213 0.213 0.213
```

## Properties
As for the raw formation energy: -0.16 eV per atom. The distance to the lowest polymorph of the same formula is 118 meV per atom.

***

[11]
DFT (PBE-GGA) results for a relaxed structure of TaSi2Pt2.

POSCAR file:
```
TaSi2Pt2
1.0
7.126 0.000 0.000
0.000 7.126 0.000
0.000 0.000 2.964
Ta Si Pt
2 4 4
direct
0.000 0.000 0.000
0.500 0.500 0.000
0.149 0.351 0.000
0.351 0.851 0.000
0.649 0.149 0.000
0.851 0.649 0.000
0.149 0.649 0.500
0.351 0.149 0.500
0.649 0.851 0.500
0.851 0.351 0.500
```

## Properties
As for the raw formation energy: -0.41 eV per atom.

***

[12]
DFT (PBE-GGA) results for a relaxed structure of CuSn3Pt12.

POSCAR file:
```
CuSn3Pt12
1.0
4.030 0.000 0.000
0.000 4.030 0.000
0.000 0.000 16.074
Cu Sn Pt
1 3 12
direct
0.000 0.000 0.000
0.000 0.000 0.240
0.000 0.000 0.500
0.000 0.000 0.760
0.000 0.500 0.117
0.000 0.500 0.373
0.000 0.500 0.627
0.000 0.500 0.883
0.500 0.000 0.117
0.500 0.000 0.373
0.500 0.000 0.627
0.500 0.000 0.883
0.500 0.500 0.000
0.500 0.500 0.247
0.500 0.500 0.500
0.500 0.500 0.753
```

## Properties
For the formation energy, the calculation gives -0.314 eV/atom.

***

[13]
DFT (PBE-GGA) results for a relaxed structure of LaErPt2.

POSCAR file:
```
LaErPt2
1.0
4.545 0.000 0.000
0.000 1.925 5.388
0.000 -1.925 5.388
La Er Pt
1 1 2
direct
0.000 0.000 0.000
0.500 0.274 0.274
0.000 0.729 0.729
0.500 0.550 0.550
```

## Properties
For the formation energy, the calculation gives -1.234 eV/atom. The distance to the lowest polymorph of the same formula is 0 meV per atom.

***

[14]
DFT (PBE-GGA) results for a relaxed structure of Pr4MgCd2.

POSCAR file:
```
Pr4MgCd2
1.0
7.943 0.000 0.000
0.000 6.479 0.000
-3.478 0.000 8.436
Pr Mg Cd
8 2 4
direct
0.019 0.250 0.413
0.151 0.750 0.290
0.398 0.013 0.772
0.398 0.487 0.772
0.602 0.513 0.228
0.602 0.987 0.228
0.849 0.250 0.710
0.981 0.750 0.587
0.197 0.250 0.083
0.803 0.750 0.917
0.205 0.750 0.969
0.428 0.250 0.446
0.572 0.750 0.554
0.795 0.250 0.031
```

## Properties
For the formation energy, the calculation gives -0.054 eV/atom. The distance to the lowest polymorph of the same formula is 42 meV per atom.

***

[15]
DFT (PBE-GGA) results for a relaxed structure of KNa2ZnF8.

POSCAR file:
```
KNa2ZnF8
1.0
4.138 0.000 0.000
0.259 5.405 0.000
1.799 0.136 7.278
K Na Zn F
1 2 1 8
direct
0.000 0.000 0.000
0.399 0.483 0.296
0.601 0.517 0.704
0.000 0.000 0.500
0.142 0.684 0.589
0.234 0.198 0.649
0.249 0.501 0.002
0.379 0.015 0.259
0.621 0.985 0.741
0.751 0.499 0.998
0.766 0.802 0.351
0.858 0.316 0.411
```

## Properties
As for the raw formation energy: -1.94 eV per atom.

***

[16]
DFT (PBE-GGA) results for a relaxed structure of SrCaLaNbO6.

POSCAR file:
```
SrCaLaNbO6
1.0
0.000 4.191 4.191
4.191 0.000 4.191
4.191 4.191 0.000
Sr Ca La Nb O
1 1 1 1 6
direct
0.000 0.000 0.000
0.750 0.750 0.750
0.500 0.500 0.500
0.250 0.250 0.250
0.012 0.012 0.488
0.012 0.488 0.012
0.012 0.488 0.488
0.488 0.012 0.012
0.488 0.012 0.488
0.488 0.488 0.012
```

## Properties
As for the raw formation energy: -2.85 eV per atom.

***

[17]
DFT (PBE-GGA) results for a relaxed structure of Ce8Te4AsP3.

POSCAR file:
```
Ce8Te4AsP3
1.0
4.252 2.455 7.230
-4.252 2.455 7.230
0.000 -4.909 7.230
Ce Te As P
8 4 1 3
direct
0.234 0.742 0.742
0.238 0.238 0.238
0.258 0.258 0.766
0.258 0.766 0.258
0.742 0.234 0.742
0.742 0.742 0.234
0.762 0.762 0.762
0.766 0.258 0.258
0.000 0.000 0.000
0.000 0.500 0.500
0.500 0.000 0.500
0.500 0.500 0.000
0.500 0.500 0.500
0.000 0.000 0.500
0.000 0.500 0.000
0.500 0.000 0.000
```

## Properties
As for the raw formation energy: -1.45 eV per atom.

***

[18]
DFT (PBE-GGA) results for a relaxed structure of ReBSCl2.

POSCAR file:
```
ReBSCl2
1.0
4.103 0.000 0.000
0.000 4.103 0.000
0.000 0.000 4.253
Re B S Cl
1 1 1 2
direct
0.000 0.000 0.000
0.500 0.500 0.500
0.500 0.500 0.000
0.000 0.500 0.500
0.500 0.000 0.500
```

## Properties
As for the raw formation energy: 1.41 eV per atom. The distance to the lowest polymorph of the same formula is 386 meV per atom.

***

[19]
DFT (PBE-GGA) results for a relaxed structure of K2CdAgCl6.

POSCAR file:
```
K2CdAgCl6
1.0
7.457 0.000 0.000
0.000 7.385 0.000
-7.151 0.000 10.061
K Cd Ag Cl
4 2 2 12
direct
0.235 0.053 0.247
0.235 0.447 0.747
0.765 0.553 0.253
0.765 0.947 0.753
0.000 0.000 0.500
0.000 0.500 0.000
0.500 0.000 0.000
0.500 0.500 0.500
0.141 0.227 0.953
0.141 0.273 0.453
0.260 0.722 0.955
0.260 0.778 0.455
0.350 0.027 0.760
0.350 0.473 0.260
0.650 0.527 0.740
0.650 0.973 0.240
0.740 0.222 0.545
0.740 0.278 0.045
0.859 0.727 0.547
0.859 0.773 0.047
```

## Properties
As for the raw formation energy: -1.21 eV per atom.

***

[20]
DFT (PBE-GGA) results for a relaxed structure of NaMo3Cl.

POSCAR file:
```
NaMo3Cl
1.0
4.694 0.000 0.000
0.000 4.694 0.000
0.000 0.000 4.694
Na Mo Cl
1 3 1
direct
0.000 0.000 0.000
0.000 0.000 0.500
0.000 0.500 0.000
0.500 0.000 0.000
0.500 0.500 0.500
```

## Properties
As for the raw formation energy: 2.98 eV per atom. The distance to the lowest polymorph of the same formula is 1747 meV per atom.

***

[21]
DFT (PBE-GGA) results for a relaxed structure of CdHgSe2.

POSCAR file:
```
CdHgSe2
1.0
-1.930 1.930 8.166
1.930 -1.930 8.166
1.930 1.930 -8.166
Cd Hg Se
1 1 2
direct
0.000 0.000 0.000
0.250 0.750 0.500
0.500 0.500 0.000
0.750 0.250 0.500
```

## Properties
As for the raw formation energy: -0.07 eV per atom. The distance to the lowest polymorph of the same formula is 344 meV per atom.

***

[22]
DFT (PBE-GGA) results for a relaxed structure of In8IBr6.

POSCAR file:
```
In8IBr6
1.0
5.511 3.182 5.153
-5.511 3.182 5.153
0.000 -6.363 5.153
In I Br
8 1 6
direct
0.120 0.368 0.627
0.244 0.244 0.244
0.368 0.627 0.120
0.373 0.880 0.632
0.627 0.120 0.368
0.632 0.373 0.880
0.756 0.756 0.756
0.880 0.632 0.373
0.500 0.500 0.500
0.111 0.683 0.820
0.180 0.889 0.317
0.317 0.180 0.889
0.683 0.820 0.111
0.820 0.111 0.683
0.889 0.317 0.180
```

## Properties
As for the raw formation energy: -0.49 eV per atom.

***

| no. | DOS(E_F) (states/eV/atom) |
| --- | --- |
| 1 | 0.352 |
| 2 | 1.187 |
| 3 | 1.126 |
| 4 | 1.406 |
| 5 | 0.370 |
| 6 | 2.495 |
| 7 | 1.618 |
| 8 | 1.185 |
| 9 | 1.644 |
| 10 | 0.874 |
| 11 | 0.721 |
| 12 | 0.990 |
| 13 | 0.668 |
| 14 | 1.138 |
| 15 | 0.418 |
| 16 | 0.000 |
| 17 | 3.159 |
| 18 | 0.919 |
| 19 | 0.343 |
| 20 | 1.958 |
| 21 | 0.321 |
| 22 | 0.345 |